Record 1
Entry from Alexandria: a relaxed Ta4InCl crystal (PBE).

V, Å³/f.u.: 124.28
ΔE_f (raw), eV per atom: 0.705

Unit cell a=5.601 b=5.601 c=5.601 alpha=60.00 beta=60.00 gamma=60.00
Fractional positions:
Ta 0.376 0.376 0.376
Ta 0.376 0.376 0.872
Ta 0.376 0.872 0.376
Ta 0.872 0.376 0.376
In 0.750 0.750 0.750
Cl 0.000 0.000 0.000

---

Record 2
Entry from Alexandria: a relaxed La2PRu3 crystal (PBE).

V, Å³/f.u.: 129.33
VASP energy, eV per atom: -6.751

Unit cell a=5.192 b=5.192 c=5.540 alpha=90.00 beta=90.00 gamma=120.00
Fractional positions:
La 0.333 0.667 0.000
La 0.667 0.333 0.000
P 0.000 0.000 0.000
Ru 0.000 0.500 0.500
Ru 0.500 0.000 0.500
Ru 0.500 0.500 0.500

---

Record 3
Entry from Alexandria: a relaxed YMgPt3 crystal (PBE).

Distance to the lowest polymorph of the same formula, kJ/mol of formula units: 355
V, Å³/f.u.: 132.54

Unit cell a=5.099 b=5.099 c=5.099 alpha=90.00 beta=90.00 gamma=90.00
Fractional positions:
Y 0.000 0.000 0.000
Mg 0.500 0.500 0.500
Pt 0.000 0.000 0.500
Pt 0.000 0.500 0.000
Pt 0.500 0.000 0.000

---

Record 4
Entry from Alexandria: a relaxed Tb4ThAg5 crystal (PBE).

V, Å³/f.u.: 246.71
VASP energy, eV per atom: -4.277

Unit cell a=3.628 b=3.628 c=18.741 alpha=90.00 beta=90.00 gamma=90.00
Fractional positions:
Tb 0.000 0.000 0.099
Tb 0.000 0.000 0.295
Tb 0.000 0.000 0.705
Tb 0.000 0.000 0.901
Th 0.000 0.000 0.500
Ag 0.500 0.500 0.000
Ag 0.500 0.500 0.197
Ag 0.500 0.500 0.390
Ag 0.500 0.500 0.610
Ag 0.500 0.500 0.803

---

Record 5
Entry from Alexandria: a relaxed CrCdCu2 crystal (PBE).

V, Å³/f.u.: 60.37
VASP energy, eV per atom: -4.360

Unit cell a=4.403 b=4.403 c=4.403 alpha=60.00 beta=60.00 gamma=60.00
Fractional positions:
Cr 0.000 0.000 0.000
Cd 0.750 0.750 0.750
Cu 0.250 0.250 0.250
Cu 0.500 0.500 0.500

---

Record 6
Entry from Alexandria: a relaxed CuPdPt crystal (PBE).

Distance to the lowest polymorph of the same formula, kJ/mol of formula units: 0
V, Å³/f.u.: 43.22

Unit cell a=5.994 b=5.991 c=2.762 alpha=76.74 beta=76.62 gamma=26.65
Fractional positions:
Cu 0.000 0.000 0.000
Pd 0.660 0.660 0.340
Pt 0.341 0.341 0.659

---

Record 7
Entry from Alexandria: a relaxed PmTh2Hg5 crystal (PBE).

V, Å³/f.u.: 211.13
VASP energy, eV per atom: -2.929

Unit cell a=8.652 b=8.652 c=8.652 alpha=145.09 beta=145.09 gamma=50.20
Fractional positions:
Pm 0.000 0.000 0.000
Th 0.263 0.263 0.000
Th 0.737 0.737 0.000
Hg 0.119 0.619 0.500
Hg 0.381 0.881 0.500
Hg 0.500 0.500 0.000
Hg 0.619 0.119 0.500
Hg 0.881 0.381 0.500

---

Record 8
Entry from Alexandria: a relaxed SmRe3C2 crystal (PBE).

V, Å³/f.u.: 87.46
VASP energy, eV per atom: -10.006

Unit cell a=6.601 b=6.601 c=8.172 alpha=114.76 beta=114.76 gamma=33.10
Fractional positions:
Sm 0.135 0.135 0.015
Sm 0.865 0.865 0.985
Re 0.057 0.057 0.390
Re 0.286 0.286 0.621
Re 0.385 0.385 0.330
Re 0.615 0.615 0.670
Re 0.714 0.714 0.379
Re 0.943 0.943 0.610
C 0.215 0.215 0.794
C 0.475 0.475 0.735
C 0.525 0.525 0.265
C 0.785 0.785 0.206